[1]
VASP calculation (PBE-GGA) on an optimized crystal structure of FeCu. Values from VASP.

```
&SYSTEM
  ibrav = 0, nat = 4, ntyp = 2
/
ATOMIC_SPECIES
Fe 55.84 Fe.upf
Cu 63.55 Cu.upf
ATOMIC_POSITIONS angstrom
Fe 0.7845 -3.8652 -3.0365
Fe 1.1767 -5.7978 -4.5547
Cu 0.3922 -1.9326 -1.5182
Cu 0.0000 0.0000 0.0000
CELL_PARAMETERS angstrom
-1.7458 -3.1558 -1.8734
1.2500 -1.1092 -3.7046
2.0648 -3.4653 -0.4949
```

Computed properties:
Spin magnetization ... 5.14 μB/cell
Formation energy ... 0.186 eV/atom
Total energy ... -6.0931 eV per atom

***

[2]
VASP calculation (PBE-GGA) on an optimized crystal structure of Fe3Cu. Values from VASP.

```
&SYSTEM
  ibrav = 0, nat = 8, ntyp = 2
/
ATOMIC_SPECIES
Cu 63.55 Cu.upf
Fe 55.84 Fe.upf
ATOMIC_POSITIONS angstrom
Cu 0.0000 0.0000 0.0000
Cu 2.2857 2.2857 2.2857
Fe 2.2857 0.0000 1.1429
Fe 3.4286 2.2857 0.0000
Fe 0.0000 1.1429 2.2857
Fe 2.2857 0.0000 3.4286
Fe 0.0000 3.4286 2.2857
Fe 1.1429 2.2857 0.0000
CELL_PARAMETERS angstrom
4.5715 0.0000 0.0000
0.0000 4.5715 0.0000
0.0000 0.0000 4.5715
```

Computed properties:
Spin magnetization ... 15.19 μB/cell
Formation energy ... 0.180 eV/atom
Total energy ... -7.1910 eV per atom

***

[3]
VASP calculation (PBE-GGA) on an optimized crystal structure of FeCu. Values from VASP.

```
&SYSTEM
  ibrav = 0, nat = 4, ntyp = 2
/
ATOMIC_SPECIES
Cu 63.55 Cu.upf
Fe 55.84 Fe.upf
ATOMIC_POSITIONS angstrom
Cu 2.3498 1.4518 3.4941
Cu 0.0000 0.0000 0.0000
Fe 2.2380 0.4353 1.1171
Fe 0.1118 1.0165 2.3771
CELL_PARAMETERS angstrom
-1.4563 -0.8485 3.2483
4.3642 -0.1458 -0.1429
1.6799 2.8814 1.5058
```

Computed properties:
Spin magnetization ... 4.90 μB/cell
Formation energy ... 0.165 eV/atom
Total energy ... -6.1148 eV per atom

***

[4]
VASP calculation (PBE-GGA) on an optimized crystal structure of FeCu. Values from VASP.

```
&SYSTEM
  ibrav = 0, nat = 12, ntyp = 2
/
ATOMIC_SPECIES
Fe 55.84 Fe.upf
Cu 63.55 Cu.upf
ATOMIC_POSITIONS angstrom
Fe -0.9842 3.8756 1.8472
Fe 2.8643 2.7902 0.6157
Fe 1.3799 4.5611 1.8472
Fe -0.3957 6.2657 1.8472
Fe 5.2284 3.4756 0.6157
Fe 4.6400 1.0855 0.6157
Cu -2.8246 5.6740 1.8472
Cu 3.5015 5.2832 0.6157
Cu 2.1624 0.3908 0.6157
Cu 7.0689 1.6773 0.6157
Cu 2.0819 6.9604 1.8472
Cu 0.7427 2.0680 1.8472
CELL_PARAMETERS angstrom
8.4885 0.0000 0.0000
-4.2442 7.3512 0.0000
0.0000 0.0000 2.4629
```

Computed properties:
Spin magnetization ... 15.48 μB/cell
Formation energy ... 0.337 eV/atom
Total energy ... -5.9422 eV per atom

***

[5]
VASP calculation (PBE-GGA) on an optimized crystal structure of Fe3Cu. Values from VASP.

```
&SYSTEM
  ibrav = 0, nat = 4, ntyp = 2
/
ATOMIC_SPECIES
Fe 55.84 Fe.upf
Cu 63.55 Cu.upf
ATOMIC_POSITIONS angstrom
Fe -0.5793 0.6363 2.4303
Fe 1.7813 0.0023 1.8388
Fe 1.2437 0.6447 4.2765
Cu 0.0000 0.0000 0.0000
CELL_PARAMETERS angstrom
-0.0445 -1.7896 1.7404
4.1837 -0.6256 1.2546
-1.1142 3.0622 3.1203
```

Computed properties:
Spin magnetization ... 7.46 μB/cell
Formation energy ... 0.132 eV/atom
Total energy ... -7.2392 eV per atom

***

[6]
VASP calculation (PBE-GGA) on an optimized crystal structure of Fe3Cu. Values from VASP.

```
&SYSTEM
  ibrav = 0, nat = 4, ntyp = 2
/
ATOMIC_SPECIES
Fe 55.84 Fe.upf
Cu 63.55 Cu.upf
ATOMIC_POSITIONS angstrom
Fe 1.2387 1.8699 3.8152
Fe 1.2387 1.8699 1.2969
Fe 0.0000 0.0000 2.5561
Cu 0.0000 0.0000 0.0000
CELL_PARAMETERS angstrom
2.4774 0.0000 0.0000
0.0000 3.7398 0.0000
0.0000 0.0000 5.1121
```

Computed properties:
Spin magnetization ... 7.54 μB/cell
Formation energy ... 0.134 eV/atom
Total energy ... -7.2369 eV per atom